[1]
The following is a PBE calculation of a relaxed structure of Ni2Pt, from Alexandria.

Space-group type   P1, No. 1
Crystal system   triclinic
Formation energy   -0.17 eV per formula unit
D(E_F)   4.9 states/eV/f.u.

abc: 5.776 5.314 5.244
angles: 89.87 103.03 76.74
Last column: magnetic moment on the atom in μB.
Positions (direct):
Ni1 0.000 0.501 0.009  0.81
Ni2 0.674 0.832 0.166  0.75
Pt1 0.321 0.670 0.830  0.35
Ni3 0.675 0.331 0.670  0.79
Pt2 0.321 0.170 0.830  0.34
Ni4 0.327 0.669 0.332  0.81
Ni5 0.002 0.999 0.491  0.75
Ni6 0.000 0.999 0.009  0.80
Pt3 0.675 0.331 0.180  0.34
Pt4 0.678 0.831 0.658  0.37
Ni7 0.326 0.168 0.332  0.81
Ni8 0.002 0.500 0.492  0.72

---

[2]
The following is a PBE calculation of a relaxed structure of Mg2In2Ag5, from Alexandria.

Space-group type   P-1, No. 2
Crystal system   triclinic
Formation energy   -0.58 eV per formula unit
D(E_F)   2.3 states/eV/f.u.

abc: 5.269 8.019 8.090
angles: 137.25 116.24 88.05
Positions (direct):
In1 0.012 0.238 0.773
Ag1 0.395 0.311 0.599
Ag2 0.605 0.689 0.401
Ag3 0.391 0.790 0.082
In2 0.988 0.762 0.227
Ag4 0.609 0.210 0.918
Mg1 0.286 0.680 0.609
Ag5 0.000 0.000 0.000
Mg2 0.714 0.320 0.391

---

[3]
The following is a PBE calculation of a relaxed structure of DyPuGeRh, from Alexandria.

Space-group type   F-43m, No. 216
Crystal system   cubic
Formation energy   -2.02 eV per formula unit
D(E_F)   8.2 states/eV/f.u.

abc: 4.960 4.960 4.960
angles: 60.00 60.00 60.00
Last column: magnetic moment on the atom in μB.
Positions (direct):
Pu1 0.000 0.000 0.000  5.15
Ge1 0.250 0.250 0.250  -0.14
Rh1 0.750 0.750 0.750  -0.40
Dy1 0.500 0.500 0.500  0.04

---

[4]
The following is a PBE calculation of a relaxed structure of Y2SbO, from Alexandria.

Space-group type   P2/c, No. 13
Crystal system   monoclinic
E_form (uncorrected)   -1794 meV/atom
D(E_F)   2.2 states/eV/f.u.

abc: 6.261 6.219 10.436
angles: 97.27 90.00 90.00
Positions (direct):
O1 0.869 0.099 0.121
Sb1 0.296 0.003 0.379
Y1 0.783 0.997 0.909
Sb2 0.704 0.503 0.879
O2 0.869 0.401 0.379
Y2 0.192 0.956 0.662
Y3 0.808 0.456 0.162
Sb3 0.296 0.497 0.121
Y4 0.192 0.544 0.838
Sb4 0.704 0.997 0.621
Y5 0.217 0.497 0.409
Y6 0.217 0.003 0.091
O3 0.131 0.599 0.621
Y7 0.783 0.503 0.591
O4 0.131 0.901 0.879
Y8 0.808 0.044 0.338

---

[5]
The following is a PBE calculation of a relaxed structure of LiPRu, from Alexandria.

Space-group type   F-43m, No. 216
Crystal system   cubic
Formation energy   -0.64 eV per formula unit
D(E_F)   1.6 states/eV/f.u.

abc: 3.911 3.911 3.911
angles: 60.00 60.00 60.00
Positions (direct):
P1 0.500 0.500 0.500
Ru1 0.750 0.750 0.750
Li1 0.000 0.000 0.000

---

[6]
The following is a PBE calculation of a relaxed structure of Hf2TlF, from Alexandria.

Space-group type   Fm-3m, No. 225
Crystal system   cubic
E_form (uncorrected)   -336 meV/atom
D(E_F)   3.0 states/eV/f.u.

abc: 4.787 4.787 4.787
angles: 60.00 60.00 60.00
Positions (direct):
Hf1 0.750 0.750 0.750
Tl1 0.500 0.500 0.500
Hf2 0.250 0.250 0.250
F1 0.000 0.000 0.000

---

[7]
The following is a PBE calculation of a relaxed structure of In3Br2Cl2, from Alexandria.

Space-group type   C2/m, No. 12
Crystal system   monoclinic
E_form (uncorrected)   -732 meV/atom
D(E_F)   3.9 states/eV/f.u.

abc: 4.481 7.560 8.223
angles: 108.11 89.99 107.23
Positions (direct):
In1 0.000 0.000 0.000
Br1 0.606 0.212 0.891
Cl1 0.144 0.288 0.324
In2 0.782 0.564 0.285
Cl2 0.856 0.712 0.676
Br2 0.394 0.788 0.109
In3 0.218 0.436 0.715

---

[8]
The following is a PBE calculation of a relaxed structure of CaSi2AgTe6, from Alexandria.

Space-group type   C2/c, No. 15
Crystal system   monoclinic
E_form (uncorrected)   -263 meV/atom
D(E_F)   6.6 states/eV/f.u.

abc: 7.354 9.838 9.838
angles: 86.71 76.84 76.84
Positions (direct):
Ca1 0.250 0.863 0.137
Si1 0.720 0.230 0.370
Te1 0.172 0.948 0.828
Ca2 0.750 0.137 0.863
Te2 0.907 0.404 0.890
Si2 0.280 0.770 0.630
Te3 0.491 0.448 0.304
Te4 0.407 0.890 0.404
Si3 0.780 0.630 0.770
Si4 0.220 0.370 0.230
Te5 0.593 0.110 0.596
Ag1 0.250 0.233 0.767
Te6 0.093 0.596 0.110
Te7 0.509 0.552 0.696
Ag2 0.750 0.767 0.233
Te8 0.672 0.828 0.948
Te9 0.828 0.052 0.172
Te10 0.328 0.172 0.052
Te11 0.009 0.696 0.552
Te12 0.991 0.304 0.448

---

[9]
The following is a PBE calculation of a relaxed structure of BaIn2GaRh2, from Alexandria.

Space-group type   P4/mmm, No. 123
Crystal system   tetragonal
Formation energy   -2.57 eV per formula unit
D(E_F)   4.5 states/eV/f.u.

abc: 4.730 4.730 6.449
angles: 90.00 90.00 90.00
Positions (direct):
Ga1 0.000 0.000 0.000
Ba1 0.000 0.000 0.500
Rh1 0.500 0.000 0.000
In1 0.500 0.500 0.754
Rh2 0.000 0.500 0.000
In2 0.500 0.500 0.246

---

[10]
The following is a PBE calculation of a relaxed structure of AcTm2S, from Alexandria.

Space-group type   R-3m, No. 166
Crystal system   trigonal
E_form (uncorrected)   -751 meV/atom
D(E_F)   3.2 states/eV/f.u.

abc: 3.691 3.691 10.578
angles: 79.95 79.95 60.00
Positions (direct):
Ac1 0.000 0.000 0.000
S1 0.500 0.500 0.500
Tm1 0.115 0.115 0.654
Tm2 0.885 0.885 0.346

---

[11]
The following is a PBE calculation of a relaxed structure of Li2IO3, from Alexandria.

Space-group type   C2/c, No. 15
Crystal system   monoclinic
E_form (uncorrected)   -1047 meV/atom
D(E_F)   0.7 states/eV/f.u.

abc: 4.409 7.488 6.679
angles: 126.75 109.27 90.00
Positions (direct):
O1 0.429 0.250 0.000
Li1 0.673 0.130 0.323
O2 0.850 0.904 0.705
O3 0.854 0.404 0.705
Li2 0.327 0.870 0.677
Li3 0.650 0.630 0.323
O4 0.146 0.596 0.295
Li4 0.350 0.370 0.677
I1 0.005 0.750 0.000
O5 0.571 0.750 0.000
O6 0.150 0.096 0.295
I2 0.995 0.250 0.000

---

[12]
The following is a PBE calculation of a relaxed structure of CdSi2Tc, from Alexandria.

Space-group type   P4/mmm, No. 123
Crystal system   tetragonal
E_form (uncorrected)   27 meV/atom
D(E_F)   2.1 states/eV/f.u.

abc: 3.115 3.115 6.738
angles: 90.00 90.00 90.00
Positions (direct):
Tc1 0.500 0.500 0.250
Si1 0.000 0.000 0.056
Si2 0.000 0.000 0.444
Cd1 0.500 0.500 0.750

---

Respective energy values: -71.11; -23.50; -32.92; -116.73; -17.24; -25.49; -20.38; -74.35; -27.70; -20.18; -53.07; -22.02 eV/cell.